(1)
A relaxed Gd2ErIn3Cu2Ni crystal, computed with GGA-PBE.

Values from the calculation:
Volume = 188 Å³/f.u.
VASP energy = -39.071 eV per cell
Symmetry = Amm2, No. 38

Lattice parameters (Å, degrees): 3.8956 7.4698 7.4698 120.03 90.00 90.00
Last column: nearest neighbours and their distance in Å.
Fractional coordinates of all 9 atoms:
Gd  0.0000  0.4082  0.0007  4 Cu 2.99-3.00, 1 Ni 3.06, 6 In 3.21-3.31
Er  0.0000  0.5937  0.5937  4 Cu 2.97, 1 Ni 3.01, 6 In 3.21-3.28
In  0.5000  0.2521  0.2521  2 Ni 2.72, 2 Cu 2.83
Cu  0.5000  0.3359  0.6655  3 In 2.83-2.88, 2 Er 2.97, 4 Gd 2.99-3.00
In  0.5000  0.7481  0.9989  2 Ni 2.70, 2 Cu 2.83-2.88
Cu  0.5000  0.6655  0.3359  3 In 2.83-2.88, 2 Er 2.97, 4 Gd 2.99-3.00
Gd  0.0000  0.0007  0.4082  4 Cu 2.99-3.00, 1 Ni 3.06, 6 In 3.21-3.31
In  0.5000  0.9989  0.7481  2 Ni 2.70, 2 Cu 2.83-2.88
Ni  0.0000  0.9969  0.9969  6 In 2.70-2.72, 1 Er 3.01



(2)
A relaxed GdEr2In3CuNi2 crystal, computed with GGA-PBE.

Values from the calculation:
Volume = 184 Å³/f.u.
VASP energy = -41.168 eV per cell
Symmetry = Amm2, No. 38

Lattice parameters (Å, degrees): 3.8310 7.4524 7.4524 119.96 90.00 90.00
Last column: nearest neighbours and their distance in Å.
Fractional coordinates of all 9 atoms:
Er  0.0000  0.4125  0.0000  4 Ni 2.95, 1 Cu 3.07, 6 In 3.11-3.30
Ni  0.5000  0.6669  0.3329  3 In 2.80-2.81, 4 Er 2.95, 2 Gd 2.96
In  0.5000  0.7418  0.0007  2 Cu 2.72, 2 Ni 2.80-2.81
Cu  0.0000  0.0005  0.0005  6 In 2.71-2.72
Er  0.0000  0.0000  0.4125  4 Ni 2.95, 1 Cu 3.07, 6 In 3.11-3.30
Ni  0.5000  0.3329  0.6669  3 In 2.80-2.81, 4 Er 2.95, 2 Gd 2.96
In  0.5000  0.2576  0.2576  2 Cu 2.71, 2 Ni 2.81
In  0.5000  0.0007  0.7418  2 Cu 2.72, 2 Ni 2.80-2.81
Gd  0.0000  0.5873  0.5873  4 Ni 2.96, 1 Cu 3.08, 6 In 3.12-3.31



(3)
A relaxed Gd2ErIn3CuPd2 crystal, computed with GGA-PBE.

Values from the calculation:
Volume = 197 Å³/f.u.
VASP energy = -42.455 eV per cell
Symmetry = Amm2, No. 38

Lattice parameters (Å, degrees): 3.8608 7.6682 7.6682 119.85 90.00 90.00
Last column: nearest neighbours and their distance in Å.
Fractional coordinates of all 9 atoms:
In  0.5000  0.9986  0.7482  2 Cu 2.72, 2 Pd 2.91-2.95
Gd  0.0000  0.0002  0.4100  4 Pd 3.03, 1 Cu 3.15, 6 In 3.24-3.37
Pd  0.5000  0.3356  0.6657  3 In 2.90-2.95, 2 Er 3.00, 4 Gd 3.03
In  0.5000  0.2524  0.2524  2 Cu 2.74, 2 Pd 2.90
Cu  0.0000  0.9989  0.9989  6 In 2.72-2.74
Pd  0.5000  0.6657  0.3356  3 In 2.90-2.95, 2 Er 3.00, 4 Gd 3.03
Gd  0.0000  0.4100  0.0002  4 Pd 3.03, 1 Cu 3.15, 6 In 3.24-3.37
Er  0.0000  0.5903  0.5903  4 Pd 3.00, 1 Cu 3.14, 6 In 3.24-3.35
In  0.5000  0.7482  0.9986  2 Cu 2.72, 2 Pd 2.91-2.95



(4)
A relaxed GdEr2In3CuPd2 crystal, computed with GGA-PBE.

Values from the calculation:
Volume = 195 Å³/f.u.
VASP energy = -42.365 eV per cell
Symmetry = Amm2, No. 38

Lattice parameters (Å, degrees): 3.8408 7.6568 7.6568 120.14 90.00 90.00
Last column: nearest neighbours and their distance in Å.
Fractional coordinates of all 9 atoms:
In  0.5000  0.2510  0.2510  2 Cu 2.71, 2 Pd 2.93
Er  0.0000  0.9999  0.4095  4 Pd 3.00, 1 Cu 3.13, 6 In 3.22-3.35
Er  0.0000  0.4095  0.9999  4 Pd 3.00, 1 Cu 3.13, 6 In 3.22-3.35
In  0.5000  0.0013  0.7483  2 Cu 2.73, 2 Pd 2.89-2.92
Cu  0.0000  0.0010  0.0010  6 In 2.71-2.73
In  0.5000  0.7483  0.0013  2 Cu 2.73, 2 Pd 2.89-2.92
Pd  0.5000  0.3312  0.6677  3 In 2.89-2.93, 4 Er 3.00, 2 Gd 3.03
Pd  0.5000  0.6677  0.3312  3 In 2.89-2.93, 4 Er 3.00, 2 Gd 3.03
Gd  0.0000  0.5903  0.5903  4 Pd 3.03, 1 Cu 3.14, 6 In 3.23-3.35



(5)
A relaxed Gd2ErIn3CuPt2 crystal, computed with GGA-PBE.

Values from the calculation:
Volume = 196 Å³/f.u.
VASP energy = -45.431 eV per cell
Symmetry = Amm2, No. 38

Lattice parameters (Å, degrees): 3.8046 7.7168 7.7168 119.86 90.00 90.00
Last column: nearest neighbours and their distance in Å.
Fractional coordinates of all 9 atoms:
In  0.5000  0.7475  0.9990  2 Cu 2.72, 2 Pt 2.92-2.97
Gd  0.0000  0.4124  0.0000  4 Pt 3.02, 1 Cu 3.19, 6 In 3.21-3.38
Er  0.0000  0.5875  0.5875  4 Pt 2.98, 1 Cu 3.18, 2 In 3.21
Pt  0.5000  0.6653  0.3367  3 In 2.92-2.97, 2 Er 2.98, 4 Gd 3.02
Gd  0.0000  0.0000  0.4124  4 Pt 3.02, 1 Cu 3.19, 6 In 3.21-3.38
In  0.5000  0.2526  0.2526  2 Cu 2.73, 2 Pt 2.92
Cu  0.0000  0.9988  0.9988  6 In 2.72-2.73
Pt  0.5000  0.3367  0.6653  3 In 2.92-2.97, 2 Er 2.98, 4 Gd 3.02
In  0.5000  0.9990  0.7475  2 Cu 2.72, 2 Pt 2.92-2.97



(6)
A relaxed GdEr2CuSn3Ir2 crystal, computed with GGA-PBE.

Values from the calculation:
Volume = 190 Å³/f.u.
VASP energy = -53.762 eV per cell
Symmetry = Amm2, No. 38

Lattice parameters (Å, degrees): 3.8696 7.5374 7.5374 120.23 90.00 90.00
Last column: nearest neighbours and their distance in Å.
Fractional coordinates of all 9 atoms:
Cu  0.0000  0.9986  0.9986  6 Sn 2.74-2.76, 2 Er 3.05, 1 Gd 3.06
Gd  0.0000  0.4060  0.4060  4 Ir 3.02, 1 Cu 3.06, 6 Sn 3.17-3.31
Er  0.0000  0.5940  0.0000  4 Ir 2.98, 1 Cu 3.05, 6 Sn 3.17-3.31
Sn  0.5000  0.2602  0.9989  2 Cu 2.76, 2 Ir 2.79-2.83
Ir  0.5000  0.3322  0.6696  3 Sn 2.79-2.85, 4 Er 2.98, 2 Gd 3.02
Er  0.0000  0.0000  0.5940  4 Ir 2.98, 1 Cu 3.05, 6 Sn 3.17-3.31
Ir  0.5000  0.6696  0.3322  3 Sn 2.79-2.85, 4 Er 2.98, 2 Gd 3.02
Sn  0.5000  0.7403  0.7403  2 Cu 2.74, 2 Ir 2.85
Sn  0.5000  0.9989  0.2602  2 Cu 2.76, 2 Ir 2.79-2.83



(7)
A relaxed GdErMg2Cu4 crystal, computed with GGA-PBE.

Values from the calculation:
Volume = 145 Å³/f.u.
VASP energy = -28.820 eV per cell
Symmetry = P4/mmm, No. 123

Lattice parameters (Å, degrees): 4.6799 4.6799 6.6297 90.00 90.00 90.00
Last column: nearest neighbours and their distance in Å.
Fractional coordinates of all 8 atoms:
Cu  0.0000  0.5000  0.2448  4 Mg 2.85-2.89, 2 Er 2.85, 2 Gd 2.89
Cu  0.0000  0.5000  0.7552  4 Mg 2.85-2.89, 2 Er 2.85, 2 Gd 2.89
Er  0.0000  0.0000  0.0000  8 Cu 2.85
Mg  0.5000  0.5000  0.0000  8 Cu 2.85
Cu  0.5000  0.0000  0.7552  4 Mg 2.85-2.89, 2 Er 2.85, 2 Gd 2.89
Gd  0.5000  0.5000  0.5000  8 Cu 2.89
Cu  0.5000  0.0000  0.2448  4 Mg 2.85-2.89, 2 Er 2.85, 2 Gd 2.89
Mg  0.0000  0.0000  0.5000  8 Cu 2.89



(8)
A relaxed Gd2ErMg3CuPt2 crystal, computed with GGA-PBE.

Values from the calculation:
Volume = 193 Å³/f.u.
VASP energy = -40.806 eV per cell
Symmetry = Amm2, No. 38

Lattice parameters (Å, degrees): 3.9701 7.4776 7.4776 119.76 90.00 90.00
Last column: nearest neighbours and their distance in Å.
Fractional coordinates of all 9 atoms:
Mg  0.5000  0.7551  0.7551  2 Cu 2.72, 2 Pt 2.87
Mg  0.5000  0.0013  0.2445  2 Cu 2.69, 2 Pt 2.87-2.93
Cu  0.0000  0.0022  0.0022  6 Mg 2.69-2.72
Pt  0.5000  0.3344  0.6625  3 Mg 2.87-2.93, 2 Er 2.97, 4 Gd 3.01-3.02
Mg  0.5000  0.2445  0.0013  2 Cu 2.69, 2 Pt 2.87-2.93
Gd  0.0000  0.0005  0.5841  4 Pt 3.01-3.02, 1 Cu 3.12, 6 Mg 3.23-3.37
Er  0.0000  0.4153  0.4153  4 Pt 2.97, 1 Cu 3.10, 2 Mg 3.23
Pt  0.5000  0.6625  0.3344  3 Mg 2.87-2.93, 2 Er 2.97, 4 Gd 3.01-3.02
Gd  0.0000  0.5841  0.0005  4 Pt 3.01-3.02, 1 Cu 3.12, 6 Mg 3.23-3.37



(9)
A relaxed Gd2ErTl3CuNi2 crystal, computed with GGA-PBE.

Values from the calculation:
Volume = 191 Å³/f.u.
VASP energy = -38.802 eV per cell
Symmetry = Amm2, No. 38

Lattice parameters (Å, degrees): 3.8237 7.5866 7.5866 119.97 90.00 90.00
Last column: nearest neighbours and their distance in Å.
Fractional coordinates of all 9 atoms:
Ni  0.5000  0.6654  0.3353  3 Tl 2.81-2.86, 2 Er 2.97, 4 Gd 2.99-3.00
Ni  0.5000  0.3353  0.6654  3 Tl 2.81-2.86, 2 Er 2.97, 4 Gd 2.99-3.00
Tl  0.5000  0.2654  0.2654  2 Cu 2.78, 2 Ni 2.81, 2 Er 3.11
Tl  0.5000  0.9982  0.7360  2 Cu 2.76, 2 Ni 2.82-2.86
Er  0.0000  0.5886  0.5886  4 Ni 2.97, 2 Tl 3.11, 1 Cu 3.11
Gd  0.0000  0.0005  0.4118  4 Ni 2.99-3.00, 4 Tl 3.12-3.34, 1 Cu 3.13
Gd  0.0000  0.4118  0.0005  4 Ni 2.99-3.00, 4 Tl 3.12-3.34, 1 Cu 3.13
Cu  0.0000  0.9988  0.9988  6 Tl 2.76-2.78
Tl  0.5000  0.7360  0.9982  2 Cu 2.76, 2 Ni 2.82-2.86



(10)
A relaxed GdErCu2Pb2 crystal, computed with GGA-PBE.

Values from the calculation:
Volume = 135 Å³/f.u.
VASP energy = -26.418 eV per cell
Symmetry = P3m1, No. 156

Lattice parameters (Å, degrees): 4.6110 4.6110 7.3531 90.00 90.00 120.00
Last column: nearest neighbours and their distance in Å.
Fractional coordinates of all 6 atoms:
Gd  0.0000  0.0000  0.7319  3 Cu 2.97, 3 Pb 3.17
Er  0.0000  0.0000  0.2313  3 Cu 2.94, 3 Pb 3.15
Cu  0.3333  0.6667  0.0611  4 Pb 2.75-2.93, 3 Er 2.94
Pb  0.3333  0.6667  0.4593  4 Cu 2.75-2.93
Cu  0.6667  0.3333  0.5514  4 Pb 2.75-3.04, 3 Gd 2.97
Pb  0.6667  0.3333  0.9649  4 Cu 2.75-3.04



(11)
A relaxed Gd2ErCu4Pb4 crystal, computed with GGA-PBE.

Values from the calculation:
Volume = 243 Å³/f.u.
VASP energy = -46.562 eV per cell
Symmetry = Immm, No. 71

Lattice parameters (Å, degrees): 8.6146 8.6146 8.6146 149.09 131.84 58.33
Last column: nearest neighbours and their distance in Å.
Fractional coordinates of all 11 atoms:
Pb  0.7850  0.7850  0.0000  6 Cu 2.73-2.78
Gd  0.3684  0.8684  0.5000  6 Cu 3.23-3.24, 6 Pb 3.26-3.38
Cu  0.0163  0.3286  0.6877  1 Cu 2.64, 4 Pb 2.67-2.78
Gd  0.6316  0.1316  0.5000  6 Cu 3.23-3.24, 6 Pb 3.26-3.38
Cu  0.9837  0.6714  0.3123  1 Cu 2.64, 4 Pb 2.67-2.78
Pb  0.2150  0.2150  0.0000  6 Cu 2.73-2.78
Er  0.0000  0.0000  0.0000  6 Pb 3.06-3.24
Pb  0.7112  0.5000  0.2112  2 Cu 2.67, 1 Pb 2.97
Pb  0.2888  0.5000  0.7888  2 Cu 2.67, 1 Pb 2.97
Cu  0.3590  0.6714  0.6877  1 Cu 2.64, 4 Pb 2.67-2.78
Cu  0.6410  0.3286  0.3123  1 Cu 2.64, 4 Pb 2.67-2.78



(12)
A relaxed GdErCuS3 crystal, computed with GGA-PBE.

Values from the calculation:
Volume = 119 Å³/f.u.
VASP energy = -69.246 eV per cell
Symmetry = Cmcm, No. 63

Lattice parameters (Å, degrees): 6.5736 6.5736 10.0435 90.00 90.00 146.76
Last column: nearest neighbours and their distance in Å.
Fractional coordinates of all 12 atoms:
Er  0.5000  0.5000  0.0000  6 S 2.71-2.78
Cu  0.9801  0.0199  0.2500  4 S 2.34-2.36
S  0.4061  0.5939  0.7500  2 Cu 2.36
S  0.1430  0.8570  0.5760  1 Cu 2.34
Gd  0.7330  0.2670  0.7500  6 S 2.81-2.88
Gd  0.2670  0.7330  0.2500  6 S 2.81-2.88
S  0.8570  0.1430  0.0760  1 Cu 2.34
Cu  0.0199  0.9801  0.7500  4 S 2.34-2.36
Er  0.5000  0.5000  0.5000  6 S 2.71-2.78
S  0.5939  0.4061  0.2500  2 Cu 2.36
S  0.8570  0.1430  0.4240  1 Cu 2.34
S  0.1430  0.8570  0.9240  1 Cu 2.34